# 1
# ScCrSb2 (GGA-PBE, optimized geometry)
data_ScCrSb2
_space_group_name_H-M_alt 'I m m 2'
_space_group_IT_number 44
_cell_length_a 3.878
_cell_length_b 3.963
_cell_length_c 11.797
_cell_angle_alpha 90.00
_cell_angle_beta 90.00
_cell_angle_gamma 90.00
loop_
_space_group_symop_operation_xyz
'x,y,z'
'-x,-y,z'
'-x,y,z'
'x,-y,z'
'x+1/2,y+1/2,z+1/2'
'-x+1/2,-y+1/2,z+1/2'
'-x+1/2,y+1/2,z+1/2'
'x+1/2,-y+1/2,z+1/2'
loop_
_atom_site_label
_atom_site_fract_x
_atom_site_fract_y
_atom_site_fract_z
Sc1 0.000 0.000 0.000
Cr1 0.000 0.500 0.249
Sb1 0.000 0.000 0.572
Sb2 0.000 0.500 0.809
# VASP energy: -50.246 eV/cell
# ΔE to the lowest computed polymorph: 0.0969 eV per atom
# M_tot: 3.444 μB/f.u.

***

# 2
# Sc2CrSb2 (GGA-PBE, optimized geometry)
data_Sc2CrSb2
_space_group_name_H-M_alt 'P 4/m b m'
_space_group_IT_number 127
_space_group_name_Hall '-P 4 2ab'
_cell_length_a 7.003
_cell_length_b 7.003
_cell_length_c 4.239
_cell_angle_alpha 90.00
_cell_angle_beta 90.00
_cell_angle_gamma 90.00
loop_
_atom_site_label
_atom_site_fract_x
_atom_site_fract_y
_atom_site_fract_z
Sc1 0.163 0.337 0.000
Cr1 0.000 0.000 0.500
Sb1 0.150 0.650 0.500
# VASP energy: -64.319 eV/cell
# M_tot: 0.000 μB/f.u.

***

# 3
# ScCrSb2 (GGA-PBE, optimized geometry)
data_ScCrSb2
_space_group_name_H-M_alt 'F m -3 m'
_space_group_IT_number 225
_space_group_name_Hall '-F 4 2 3'
_cell_length_a 6.800
_cell_length_b 6.800
_cell_length_c 6.800
_cell_angle_alpha 90.00
_cell_angle_beta 90.00
_cell_angle_gamma 90.00
loop_
_atom_site_label
_atom_site_fract_x
_atom_site_fract_y
_atom_site_fract_z
Sc1 0.000 0.000 0.000
Cr1 0.000 0.000 0.500
Sb1 0.250 0.250 0.250
# VASP energy: -96.839 eV/cell
# ΔE to the lowest computed polymorph: 0.3251 eV per atom
# M_tot: 0.000 μB/f.u.

***

# 4
# ScCrSb2 (GGA-PBE, optimized geometry)
data_ScCrSb2
_space_group_name_H-M_alt 'F -4 3 m'
_space_group_IT_number 216
_space_group_name_Hall 'F -4 2 3'
_cell_length_a 7.149
_cell_length_b 7.149
_cell_length_c 7.149
_cell_angle_alpha 90.00
_cell_angle_beta 90.00
_cell_angle_gamma 90.00
loop_
_atom_site_label
_atom_site_fract_x
_atom_site_fract_y
_atom_site_fract_z
Sc1 0.000 0.000 0.000
Cr1 0.250 0.250 0.250
Sb1 0.000 0.000 0.500
Sb2 0.250 0.250 0.750
# VASP energy: -93.953 eV/cell
# ΔE to the lowest computed polymorph: 0.5055 eV per atom
# M_tot: 3.739 μB/f.u.

***

# 5
# Sc2CrSb (GGA-PBE, optimized geometry)
data_Sc2CrSb
_space_group_name_H-M_alt 'F -4 3 m'
_space_group_IT_number 216
_space_group_name_Hall 'F -4 2 3'
_cell_length_a 6.733
_cell_length_b 6.733
_cell_length_c 6.733
_cell_angle_alpha 90.00
_cell_angle_beta 90.00
_cell_angle_gamma 90.00
loop_
_atom_site_label
_atom_site_fract_x
_atom_site_fract_y
_atom_site_fract_z
Sc1 0.000 0.000 0.000
Sc2 0.250 0.250 0.250
Cr1 0.250 0.250 0.750
Sb1 0.000 0.000 0.500
# VASP energy: -107.202 eV/cell
# M_tot: 0.996 μB/f.u.

***

# 6
# ScCrSb (GGA-PBE, optimized geometry)
data_ScCrSb
_space_group_name_H-M_alt 'P -6 m 2'
_space_group_IT_number 187
_space_group_name_Hall 'P -6 2'
_cell_length_a 4.5672
_cell_length_b 4.5672
_cell_length_c 3.4231
_cell_angle_alpha 90.00
_cell_angle_beta 90.00
_cell_angle_gamma 120.00
loop_
_atom_site_label
_atom_site_fract_x
_atom_site_fract_y
_atom_site_fract_z
Sc1 0.0000 0.0000 0.0000
Cr1 0.3333 0.6667 0.5000
Sb1 0.6667 0.3333 0.5000
# VASP energy: -20.471 eV/cell
# M_tot: 3.488 μB/f.u.

***

Copy entry 1 word for word.
# ScCrSb2 (GGA-PBE, optimized geometry)
data_ScCrSb2
_space_group_name_H-M_alt 'I m m 2'
_space_group_IT_number 44
_cell_length_a 3.878
_cell_length_b 3.963
_cell_length_c 11.797
_cell_angle_alpha 90.00
_cell_angle_beta 90.00
_cell_angle_gamma 90.00
loop_
_space_group_symop_operation_xyz
'x,y,z'
'-x,-y,z'
'-x,y,z'
'x,-y,z'
'x+1/2,y+1/2,z+1/2'
'-x+1/2,-y+1/2,z+1/2'
'-x+1/2,y+1/2,z+1/2'
'x+1/2,-y+1/2,z+1/2'
loop_
_atom_site_label
_atom_site_fract_x
_atom_site_fract_y
_atom_site_fract_z
Sc1 0.000 0.000 0.000
Cr1 0.000 0.500 0.249
Sb1 0.000 0.000 0.572
Sb2 0.000 0.500 0.809
# VASP energy: -50.246 eV/cell
# ΔE to the lowest computed polymorph: 0.0969 eV per atom
# M_tot: 3.444 μB/f.u.

***

Question: Which of these has the lowest VASP energy?
Answer: Sc2CrSb